Entry 1:
First-principles (SCAN) data for Ag3AsCl at its PBEsol-relaxed geometry, as listed in Alexandria.

Values from the calculation:
The raw formation energy comes out at 0.177 eV/atom. As for the total moment: 0.00 μB per cell. For the density, the calculation gives 6.241 g cm⁻³.

Cell lengths 4.870, 4.870, 4.870 Å; angles 90.00, 90.00, 90.00 degrees
Sites, in units of the cell vectors:
Ag 0.000 0.000 0.500
Ag 0.000 0.500 0.000
Ag 0.500 0.000 0.000
As 0.000 0.000 0.000
Cl 0.500 0.500 0.500


Entry 2:
First-principles (SCAN) data for YHg2Au at its PBEsol-relaxed geometry, as listed in Alexandria.

Values from the calculation:
The value obtained for the formation enthalpy at 0 K is -59 kJ per mole of atoms. As for the total moment: 0.00 μB per cell. For the density, the calculation gives 13.570 g cm⁻³.

Cell lengths 4.919, 4.919, 4.919 Å; angles 120.08, 120.08, 89.85 degrees
Sites, in units of the cell vectors:
Y 0.000 0.000 0.000
Hg 0.250 0.750 0.500
Hg 0.500 0.500 0.000
Au 0.750 0.250 0.500


Entry 3:
First-principles (SCAN) data for Si2PdRh2 at its PBEsol-relaxed geometry, as listed in Alexandria.

Values from the calculation:
The raw formation energy comes out at -0.826 eV/atom. As for the total moment: 0.00 μB per cell. For the density, the calculation gives 9.277 g cm⁻³.

Cell lengths 6.894, 6.894, 2.775 Å; angles 90.00, 90.00, 90.00 degrees
Sites, in units of the cell vectors:
Si 0.153 0.347 0.000
Si 0.347 0.847 0.000
Si 0.653 0.153 0.000
Si 0.847 0.653 0.000
Pd 0.000 0.000 0.000
Pd 0.500 0.500 0.000
Rh 0.144 0.644 0.500
Rh 0.356 0.144 0.500
Rh 0.644 0.856 0.500
Rh 0.856 0.356 0.500


Entry 4:
First-principles (SCAN) data for ZnGa2Hg at its PBEsol-relaxed geometry, as listed in Alexandria.

Values from the calculation:
The value obtained for the formation enthalpy at 0 K is 12 kJ per mole of atoms. As for the total moment: 0.00 μB per cell. For the density, the calculation gives 8.966 g cm⁻³.

Cell lengths 10.065, 10.065, 10.065 Å; angles 157.42, 157.42, 32.14 degrees
Sites, in units of the cell vectors:
Zn 0.000 0.000 0.000
Zn 0.750 0.250 0.500
Ga 0.110 0.625 0.985
Ga 0.375 0.360 0.485
Ga 0.640 0.125 0.015
Ga 0.875 0.890 0.515
Hg 0.250 0.750 0.500
Hg 0.500 0.500 0.000


Entry 5:
First-principles (SCAN) data for Ba2Ti13O22 at its PBEsol-relaxed geometry, as listed in Alexandria.

Values from the calculation:
The raw formation energy comes out at -3.240 eV/atom. As for the total moment: 0.00 μB per cell. For the density, the calculation gives 5.131 g cm⁻³.

Cell lengths 7.628, 7.628, 14.047 Å; angles 90.00, 90.00, 81.45 degrees
Sites, in units of the cell vectors:
Ba 0.167 0.833 0.913
Ba 0.333 0.667 0.413
Ba 0.667 0.333 0.587
Ba 0.833 0.167 0.087
Ti 0.000 0.000 0.500
Ti 0.056 0.204 0.327
Ti 0.075 0.421 0.847
Ti 0.079 0.425 0.653
Ti 0.166 0.834 0.167
Ti 0.204 0.056 0.673
Ti 0.244 0.244 0.000
Ti 0.256 0.256 0.500
Ti 0.296 0.444 0.173
Ti 0.334 0.666 0.667
Ti 0.421 0.075 0.153
Ti 0.425 0.079 0.347
Ti 0.444 0.296 0.827
Ti 0.500 0.500 0.000
Ti 0.556 0.704 0.173
Ti 0.575 0.921 0.653
Ti 0.579 0.925 0.847
Ti 0.666 0.334 0.333
Ti 0.704 0.556 0.827
Ti 0.744 0.744 0.500
Ti 0.756 0.756 0.000
Ti 0.796 0.944 0.327
Ti 0.834 0.166 0.833
Ti 0.921 0.575 0.347
Ti 0.925 0.579 0.153
Ti 0.944 0.796 0.673
O 0.003 0.997 0.249
O 0.030 0.210 0.919
O 0.035 0.212 0.580
O 0.096 0.403 0.088
O 0.097 0.404 0.412
O 0.119 0.624 0.749
O 0.124 0.619 0.249
O 0.160 0.840 0.593
O 0.210 0.030 0.081
O 0.212 0.035 0.420
O 0.232 0.268 0.750
O 0.268 0.232 0.250
O 0.288 0.465 0.920
O 0.290 0.470 0.581
O 0.340 0.660 0.093
O 0.376 0.881 0.749
O 0.381 0.876 0.249
O 0.403 0.096 0.912
O 0.404 0.097 0.588
O 0.465 0.288 0.080
O 0.470 0.290 0.419
O 0.497 0.503 0.749
O 0.503 0.497 0.251
O 0.530 0.710 0.581
O 0.535 0.712 0.920
O 0.596 0.903 0.412
O 0.597 0.904 0.088
O 0.619 0.124 0.751
O 0.624 0.119 0.251
O 0.660 0.340 0.907
O 0.710 0.530 0.419
O 0.712 0.535 0.080
O 0.732 0.768 0.750
O 0.768 0.732 0.250
O 0.788 0.965 0.580
O 0.790 0.970 0.919
O 0.840 0.160 0.407
O 0.876 0.381 0.751
O 0.881 0.376 0.251
O 0.903 0.596 0.588
O 0.904 0.597 0.912
O 0.965 0.788 0.420
O 0.970 0.790 0.081
O 0.997 0.003 0.751


Entry 6:
First-principles (SCAN) data for BPPdS2 at its PBEsol-relaxed geometry, as listed in Alexandria.

Values from the calculation:
The raw formation energy comes out at 1.507 eV/atom. As for the total moment: 0.00 μB per cell. For the density, the calculation gives 3.512 g cm⁻³.

Cell lengths 4.794, 4.794, 4.368 Å; angles 90.00, 90.00, 90.00 degrees
Sites, in units of the cell vectors:
B 0.000 0.000 0.000
P 0.500 0.500 0.000
Pd 0.500 0.500 0.500
S 0.000 0.500 0.500
S 0.500 0.000 0.500


Entry 7:
First-principles (SCAN) data for LiTiSbTe2 at its PBEsol-relaxed geometry, as listed in Alexandria.

Values from the calculation:
The raw formation energy comes out at 0.326 eV/atom. As for the total moment: 1.91 μB per cell. For the density, the calculation gives 5.923 g cm⁻³.

Cell lengths 5.094, 5.094, 4.665 Å; angles 90.00, 90.00, 90.00 degrees
Sites, in units of the cell vectors:
Li 0.000 0.000 0.000
Ti 0.500 0.500 0.500
Sb 0.000 0.000 0.500
Te 0.000 0.500 0.000
Te 0.500 0.000 0.000


Entry 8:
First-principles (SCAN) data for ReSi2W at its PBEsol-relaxed geometry, as listed in Alexandria.

Values from the calculation:
The raw formation energy comes out at 0.234 eV/atom. As for the total moment: 0.00 μB per cell. For the energy above the most stable polymorph in this dataset, the calculation gives 0.509 eV per atom. For the density, the calculation gives 12.564 g cm⁻³.

Cell lengths 3.023, 3.924, 4.748 Å; angles 90.00, 90.00, 90.00 degrees
Sites, in units of the cell vectors:
Re 0.000 0.000 0.000
Si 0.000 0.500 0.500
Si 0.500 0.500 0.000
W 0.500 0.000 0.500


| no. | density of states at the Fermi level (states/eV per atom) |
| --- | --- |
| 1 | 1.547 |
| 2 | 0.413 |
| 3 | 0.414 |
| 4 | 0.362 |
| 5 | 0.421 |
| 6 | 0.626 |
| 7 | 0.659 |
| 8 | 0.708 |